Below is crystalline CdHg2W at its relaxed geometry, with properties calculated at the PBE level.

Geometry as extended XYZ:
```
4
Lattice="-2.116 2.116 4.474 2.116 -2.116 4.474 2.116 2.116 -4.474" Properties=species:S:1:pos:R:3 pbc="T T T"
Cd 0.000 0.000 0.000
Hg 2.116 0.000 2.237
Hg 0.000 2.116 2.237
W 0.000 0.000 4.474
```

Output
calculated formation energy: 346 kJ/mol of formula units

***

Below is crystalline LaH3Ir at its relaxed geometry, with properties calculated at the PBE level.

Geometry as extended XYZ:
```
10
Lattice="4.488 0.000 0.000 0.162 4.575 0.000 2.221 0.229 5.845" Properties=species:S:1:pos:R:3 pbc="T T T"
La 0.000 0.000 0.000
La 2.310 2.386 2.746
H 1.608 0.168 3.573
H 2.220 1.089 0.550
H 2.397 3.489 0.507
H 3.211 4.587 2.323
H 4.548 3.033 3.522
H 4.648 1.425 2.106
Ir 4.460 2.489 5.215
Ir 4.470 0.165 3.191
```

Output
final energy: -5.31 eV per atom

***

Below is crystalline SrLaFe3 at its relaxed geometry, with properties calculated at the PBE level.

Geometry as extended XYZ:
```
5
Lattice="5.057 0.000 0.000 0.000 5.057 0.000 0.000 0.000 5.057" Properties=species:S:1:pos:R:3 pbc="T T T"
Sr 0.000 0.000 0.000
La 2.528 2.528 2.528
Fe 0.000 2.528 2.528
Fe 2.528 0.000 2.528
Fe 2.528 2.528 0.000
```

Output
calculated formation energy: 581 kJ/mol of formula units
distance to the lowest polymorph of the same formula: 0.000 eV/atom

***

Below is crystalline MnNi6P at its relaxed geometry, with properties calculated at the PBE level.

Geometry as extended XYZ:
```
8
Lattice="2.423 1.399 5.512 -2.423 1.399 5.512 0.000 -2.798 5.512" Properties=species:S:1:pos:R:3 pbc="T T T"
Mn 0.000 0.000 0.000
Ni -1.244 -0.718 6.681
Ni 0.000 -1.436 9.856
Ni -1.244 0.718 9.856
Ni 1.244 -0.718 6.681
Ni 0.000 1.436 6.681
Ni 1.244 0.718 9.856
P 0.000 0.000 8.269
```

Output
calculated formation energy: 130 kJ/mol of formula units

***

Below is crystalline NdEr4Al2 at its relaxed geometry, with properties calculated at the PBE level.

Geometry as extended XYZ:
```
7
Lattice="2.645 1.527 7.771 -2.645 1.527 7.771 0.000 -3.055 7.771" Properties=species:S:1:pos:R:3 pbc="T T T"
Nd 0.000 0.000 0.000
Er 0.000 0.000 3.596
Er 0.000 0.000 9.807
Er 0.000 0.000 13.507
Er 0.000 0.000 19.717
Al 0.000 0.000 6.577
Al 0.000 0.000 16.737
```

Output
calculated formation energy: -139 kJ/mol of formula units
distance to the lowest polymorph of the same formula: 0.000 eV/atom

***

Below is crystalline CaRh2Br at its relaxed geometry, with properties calculated at the PBE level.

Geometry as extended XYZ:
```
4
Lattice="2.021 1.167 6.788 -2.021 1.167 6.788 0.000 -2.334 6.788" Properties=species:S:1:pos:R:3 pbc="T T T"
Ca 0.000 0.000 0.000
Rh 0.000 0.000 9.344
Rh 0.000 0.000 15.476
Br 0.000 0.000 4.971
```

Output
formation energy without anion corrections: -5.67 kcal/mol of atoms
distance to the lowest polymorph of the same formula: 0.067 eV/atom

***

Below is crystalline GdEr2Sb at its relaxed geometry, with properties calculated at the PBE level.

Geometry as extended XYZ:
```
4
Lattice="3.990 0.000 0.000 0.000 3.990 0.000 0.000 0.000 7.164" Properties=species:S:1:pos:R:3 pbc="T T T"
Gd 0.000 0.000 0.000
Er 1.995 1.995 1.976
Er 1.995 1.995 5.187
Sb 0.000 0.000 3.582
```

Output
formation energy without anion corrections: -10.65 kcal/mol of atoms
distance to the lowest polymorph of the same formula: 0.019 eV/atom

***

Below is crystalline AlTeCN2 at its relaxed geometry, with properties calculated at the PBE level.

Geometry as extended XYZ:
```
5
Lattice="3.530 0.000 0.000 0.000 3.530 0.000 0.000 0.000 7.364" Properties=species:S:1:pos:R:3 pbc="T T T"
Al 0.000 0.000 0.000
Te 0.000 0.000 3.682
C 1.765 1.765 3.682
N 0.000 1.765 0.000
N 1.765 0.000 0.000
```

Output
formation energy without anion corrections: 37.08 kcal/mol of atoms
distance to the lowest polymorph of the same formula: 0.000 eV/atom

***

Below is crystalline CaCd9Rh2 at its relaxed geometry, with properties calculated at the PBE level.

Geometry as extended XYZ:
```
24
Lattice="-5.840 5.840 3.810 5.840 -5.840 3.810 5.840 5.840 -3.810" Properties=species:S:1:pos:R:3 pbc="T T T"
Ca 5.840 2.920 0.953
Ca 0.000 2.920 2.858
Cd 5.840 -2.920 2.858
Cd 4.430 -0.574 1.401
Cd 7.250 -0.574 1.401
Cd 2.346 1.510 0.504
Cd 9.334 1.510 0.504
Cd 4.430 5.266 -1.401
Cd 1.410 -0.574 2.409
Cd 2.346 4.330 0.504
Cd 3.494 -1.510 4.314
Cd 2.346 7.350 -0.504
Cd 3.494 1.510 3.306
Cd 4.430 6.414 1.401
Cd 1.410 0.574 5.211
Cd -3.494 4.330 3.306
Cd 3.494 4.330 3.306
Cd -1.410 6.414 2.409
Cd 1.410 6.414 2.409
Cd 0.000 8.760 0.953
Rh 0.000 0.000 0.000
Rh 2.920 2.920 -1.905
Rh 2.920 -2.920 1.905
Rh 0.000 5.840 0.000
```

Output
calculated formation energy: -169 kJ/mol of formula units

***

Below is crystalline Ac5RhPb2O at its relaxed geometry, with properties calculated at the PBE level.

Geometry as extended XYZ:
```
18
Lattice="2.292 -10.100 0.000 2.292 10.100 0.000 0.000 0.000 13.463" Properties=species:S:1:pos:R:3 pbc="T T T"
Ac 2.292 10.085 6.731
Ac 2.292 7.020 2.853
Ac 2.292 6.347 7.911
Ac 2.292 5.663 11.831
Ac 2.292 1.113 3.139
Ac 2.292 -1.113 9.871
Ac 2.292 -5.663 5.100
Ac 2.292 -6.347 1.180
Ac 2.292 -7.020 9.584
Ac 2.292 -10.085 0.000
Rh 2.292 4.142 3.141
Rh 2.292 -4.142 9.873
Pb 2.292 2.508 6.973
Pb 2.292 2.125 12.046
Pb 2.292 -2.125 5.314
Pb 2.292 -2.508 0.242
O 2.292 8.908 8.835
O 2.292 -8.908 2.104
```

Output
formation energy without anion corrections: -23.80 kcal/mol of atoms

***

Below is crystalline AcGe2Br8 at its relaxed geometry, with properties calculated at the PBE level.

Geometry as extended XYZ:
```
11
Lattice="6.481 -5.211 0.000 6.481 5.211 0.000 -2.312 0.000 7.458" Properties=species:S:1:pos:R:3 pbc="T T T"
Ac 0.000 0.000 0.000
Ge 0.994 0.000 4.963
Ge 9.657 0.000 2.494
Br 4.666 3.271 1.556
Br 1.958 0.000 2.315
Br 5.984 3.271 5.901
Br 2.967 0.000 6.346
Br 7.684 0.000 1.112
Br 4.666 -3.271 1.556
Br 8.693 0.000 5.143
Br 5.984 -3.271 5.901
```

Output
formation energy without anion corrections: -22.36 kcal/mol of atoms

***

Below is crystalline Rb2CaBr6O at its relaxed geometry, with properties calculated at the PBE level.

Geometry as extended XYZ:
```
10
Lattice="-3.670 3.670 6.392 3.670 -3.670 6.392 3.670 3.670 -6.392" Properties=species:S:1:pos:R:3 pbc="T T T"
Rb 3.670 0.000 3.196
Rb 0.000 3.670 3.196
Ca 0.000 0.000 0.000
Br 0.000 0.000 2.794
Br 2.068 2.068 0.000
Br 1.601 -1.601 6.392
Br -1.601 1.601 6.392
Br 1.601 1.601 6.392
Br 0.000 0.000 9.990
O 0.000 0.000 6.392
```

Output
formation energy without anion corrections: -23.22 kcal/mol of atoms